# 1
{"formula": "MoOsAu", "functional": "PBE", "state": "relaxed", "relative_energy_ev_per_atom": 0.0254, "formation_enthalpy_0k_ev_per_fu": 0.74, "magmom_total_mub_per_fu": 0.00, "energy_ev_per_cell": -24.60, "space_group": "I4mm", "lattice": [[-1.438, 1.438, 5.901], [1.438, -1.438, 5.901], [1.438, 1.438, -5.901]], "species": ["Mo", "Os", "Au"], "fractional_positions": [[0.000, 0.000, 0.000], [0.361, 0.361, 0.000], [0.681, 0.681, 0.000]]}



# 2
{"formula": "Tl3HgBi4", "functional": "PBE", "state": "relaxed", "formation_enthalpy_0k_ev_per_fu": 0.19, "magmom_total_mub_per_fu": 0.00, "energy_ev_per_cell": -22.74, "space_group": "P-1", "lattice": [[3.485, 0.000, 0.000], [0.011, 5.660, 0.000], [0.181, 2.168, 13.273]], "species": ["Tl", "Tl", "Tl", "Hg", "Bi", "Bi", "Bi", "Bi"], "fractional_positions": [[0.000, 0.000, 0.000], [0.472, 0.835, 0.292], [0.528, 0.165, 0.708], [0.500, 0.500, 0.000], [0.012, 0.630, 0.794], [0.100, 0.731, 0.549], [0.900, 0.269, 0.451], [0.988, 0.370, 0.206]]}



# 3
{"formula": "Th4SbRh", "functional": "PBE", "state": "relaxed", "magmom_total_mub_per_fu": 0.00, "energy_ev_per_cell": -87.11, "space_group": "C2/c", "formation_energy_uncorrected_kj_per_mol_atoms": -38.60, "lattice": [[8.141, -3.171, 0.000], [8.141, 3.171, 0.000], [-2.103, 0.000, 7.022]], "species": ["Th", "Th", "Th", "Th", "Th", "Th", "Th", "Th", "Sb", "Sb", "Rh", "Rh"], "fractional_positions": [[0.020, 0.815, 0.528], [0.185, 0.980, 0.972], [0.227, 0.427, 0.871], [0.427, 0.227, 0.371], [0.573, 0.773, 0.629], [0.773, 0.573, 0.129], [0.815, 0.020, 0.028], [0.980, 0.185, 0.472], [0.394, 0.606, 0.250], [0.606, 0.394, 0.750], [0.000, 0.500, 0.500], [0.500, 0.000, 0.000]]}



# 4
{"formula": "BaICl2", "functional": "PBE", "state": "relaxed", "relative_energy_ev_per_atom": 0.0000, "magmom_total_mub_per_fu": 1.00, "energy_ev_per_cell": -13.42, "space_group": "R-3m", "formation_energy_uncorrected_kj_per_mol_atoms": -150.86, "lattice": [[2.346, 1.355, 11.938], [-2.346, 1.355, 11.938], [0.000, -2.709, 11.938]], "species": ["Ba", "I", "Cl", "Cl"], "fractional_positions": [[0.000, 0.000, 0.000], [0.500, 0.500, 0.500], [0.374, 0.374, 0.374], [0.626, 0.626, 0.626]]}



# 5
{"formula": "YInSi3", "functional": "PBE", "state": "relaxed", "relative_energy_ev_per_atom": 0.0000, "magmom_total_mub_per_fu": 0.00, "energy_ev_per_cell": -21.27, "space_group": "Pm-3m", "formation_energy_uncorrected_kj_per_mol_atoms": 81.08, "lattice": [[5.054, 0.000, 0.000], [0.000, 5.054, 0.000], [0.000, 0.000, 5.054]], "species": ["Y", "In", "Si", "Si", "Si"], "fractional_positions": [[0.000, 0.000, 0.000], [0.500, 0.500, 0.500], [0.000, 0.500, 0.500], [0.500, 0.000, 0.500], [0.500, 0.500, 0.000]]}



# 6
{"formula": "CuMo2I", "functional": "PBE", "state": "relaxed", "relative_energy_ev_per_atom": 0.0250, "magmom_total_mub_per_fu": 0.00, "energy_ev_per_cell": -47.25, "space_group": "I-42d", "formation_energy_uncorrected_kj_per_mol_atoms": 88.88, "lattice": [[-1.934, 1.934, 9.857], [1.934, -1.934, 9.857], [1.934, 1.934, -9.857]], "species": ["Cu", "Cu", "Mo", "Mo", "Mo", "Mo", "I", "I"], "fractional_positions": [[0.000, 0.000, 0.000], [0.750, 0.250, 0.500], [0.081, 0.625, 0.956], [0.375, 0.331, 0.456], [0.669, 0.125, 0.044], [0.875, 0.919, 0.544], [0.250, 0.750, 0.500], [0.500, 0.500, 0.000]]}



no.,DOS at the Fermi energy (states/eV/atom)
1,0.6080
2,0.3664
3,1.2068
4,1.1960
5,0.6800
6,0.7935